Te2N2Cl3 | GGA-PBE | relaxed

It has space group C2/m (No. 12), with a = 11.987 Å, b = 3.930 Å, c = 10.006 Å, α = 90.00°, β = 113.47° and γ = 90.00°. The asymmetric unit holds Te at (0.220, 0.000, 0.087), N at (0.103, 0.500, 0.402), Cl at (0.000, 0.500, 0.000) and Cl at (0.156, 0.000, 0.712).

The value obtained for the total energy is -2.709 eV/atom. The value obtained for the volume is 30.88 Å³ per atom. The uncorrected formation energy is 1359 meV/atom.


Pr6Co2NiI3 | GGA-PBE | relaxed

It has space group C2/m (No. 12), with a = 7.136 Å, b = 12.359 Å, c = 8.507 Å, α = 90.00°, β = 106.24° and γ = 90.00°. The asymmetric unit holds Pr at (0.221, 0.000, 0.183), Pr at (0.231, 0.330, 0.183), Co at (0.000, 0.167, 0.000), Ni at (0.000, 0.500, 0.000), I at (0.000, 0.000, 0.500) and I at (0.000, 0.333, 0.500).

The value obtained for the total energy is -5.053 eV/atom. The value obtained for the volume is 30.01 Å³ per atom. The uncorrected formation energy is -609 meV/atom.